1.
MgInTcMo | PBE | relaxed

Properties
Electronic total energy ... -6.230 eV/atom
Offset from the most stable computed form ... 0.0 kJ/mol of atoms
Magnetization ... 0.0 μB per cell
Symmetry ... F-43m, No. 216

Unit cell a=4.5691 b=4.5691 c=4.5691 alpha=60.00 beta=60.00 gamma=60.00
Sites, in units of the cell vectors:
Tc (0.2500, 0.2500, 0.2500)
Mg (0.7500, 0.7500, 0.7500)
Mo (0.0000, 0.0000, 0.0000)
In (0.5000, 0.5000, 0.5000)

---

2.
Na2Mg2In2NiPt | PBE | relaxed

Properties
Electronic total energy ... -3.042 eV/atom
Magnetization ... 0.0 μB per cell
Symmetry ... P-4m2, No. 115

Unit cell a=4.7188 b=4.7188 c=6.6721 alpha=90.00 beta=90.00 gamma=90.00
Sites, in units of the cell vectors:
Pt (0.5000, 0.5000, 0.5000)
Mg (0.5000, 0.0000, 0.2511)
Mg (0.0000, 0.5000, 0.7489)
Na (0.5000, 0.5000, 0.0000)
Na (0.0000, 0.0000, 0.5000)
Ni (0.0000, 0.0000, 0.0000)
In (0.5000, 0.0000, 0.7608)
In (0.0000, 0.5000, 0.2392)

---

3.
NaMgIn4Pd2 | PBE | relaxed

Properties
Electronic total energy ... -3.383 eV/atom
Symmetry ... Amm2, No. 38

Unit cell a=8.2493 b=5.4475 c=5.4475 alpha=45.62 beta=90.00 gamma=90.00
Sites, in units of the cell vectors:
In (0.6982, 0.6414, 0.6414)
In (0.8033, 0.3584, 0.3584)
In (0.3018, 0.6414, 0.6414)
In (0.1967, 0.3584, 0.3584)
Pd (0.5000, 0.2218, 0.2218)
Pd (0.0000, 0.7779, 0.7779)
Mg (0.0000, 0.0660, 0.0660)
Na (0.5000, 0.9347, 0.9347)

---

4.
Na2Mg2In2PdPt | PBE | relaxed

Properties
Electronic total energy ... -3.157 eV/atom
Magnetization ... 0.0 μB per cell
Symmetry ... P-4m2, No. 115

Unit cell a=4.7573 b=4.7573 c=6.7175 alpha=90.00 beta=90.00 gamma=90.00
Sites, in units of the cell vectors:
Pt (0.0000, 0.0000, 0.0000)
Na (0.5000, 0.5000, 0.0000)
Na (0.0000, 0.0000, 0.5000)
Pd (0.5000, 0.5000, 0.5000)
In (0.5000, 0.0000, 0.7492)
In (0.0000, 0.5000, 0.2508)
Mg (0.5000, 0.0000, 0.2486)
Mg (0.0000, 0.5000, 0.7514)